A relaxed structure of Pm2Zn2In. Source: Alexandria via LeMat-Bulk, functional GGA-PBE.

Computed properties:
* space-group type: P4/mbm (127)
* density: 7.31 g cm⁻³
* formation enthalpy at 0 K: -405 meV/atom
* D(E_F): 1.1095 states/eV per atom
* V: 24.3 Å³ per atom
* total magnetic moment: 0.0000 μB/atom

Cell lengths 4.597, 7.274, 7.274 Å; angles 90.00, 90.00, 90.00 degrees
Atoms (fractional coordinates):
In (0.000, 0.500, 0.500)
In (0.000, 0.000, 0.000)
Pm (0.500, 0.175, 0.675)
Pm (0.500, 0.825, 0.325)
Pm (0.500, 0.325, 0.175)
Pm (0.500, 0.675, 0.825)
Zn (0.000, 0.124, 0.376)
Zn (0.000, 0.876, 0.624)
Zn (0.000, 0.376, 0.876)
Zn (0.000, 0.624, 0.124)

=====

A relaxed structure of RuAu3. Source: Alexandria via LeMat-Bulk, functional GGA-PBE.

Computed properties:
* space-group type: R-3m (166)
* density: 16.88 g cm⁻³
* formation enthalpy at 0 K: 273 meV/atom
* D(E_F): 0.6161 states/eV per atom
* V: 17.0 Å³ per atom
* total magnetic moment: 0.0655 μB/atom

Cell lengths 9.781, 9.781, 9.781 Å; angles 16.79, 16.79, 16.79 degrees
Each line ends with the local moment (μB).
Atoms (fractional coordinates):
Au (0.496, 0.496, 0.496)  0.00
Au (0.004, 0.004, 0.004)  0.00
Au (0.250, 0.250, 0.250)  -0.01
Ru (0.750, 0.750, 0.750)  0.27

=====

A relaxed structure of Tb2Zn3Cd. Source: Alexandria via LeMat-Bulk, functional GGA-PBE.

Computed properties:
* space-group type: Imm2 (44)
* density: 7.73 g cm⁻³
* formation enthalpy at 0 K: -263 meV/atom
* D(E_F): 0.9736 states/eV per atom
* V: 22.4 Å³ per atom
* total magnetic moment: 0.0000 μB/atom

Cell lengths 3.716, 4.521, 8.529 Å; angles 105.37, 102.58, 90.00 degrees
Atoms (fractional coordinates):
Cd (0.461, 0.961, 0.923)
Zn (0.296, 0.796, 0.592)
Zn (0.545, 0.545, 0.090)
Zn (0.699, 0.699, 0.398)
Tb (0.136, 0.136, 0.272)
Tb (0.863, 0.363, 0.726)

=====

A relaxed structure of Al4Fe3Au. Source: Alexandria via LeMat-Bulk, functional GGA-PBE.

Computed properties:
* space-group type: P4/mmm (123)
* density: 7.66 g cm⁻³
* formation enthalpy at 0 K: -321 meV/atom
* D(E_F): 0.8465 states/eV per atom
* V: 12.8 Å³ per atom
* total magnetic moment: 0.0466 μB/atom

Cell lengths 4.110, 6.065, 8.218 Å; angles 90.00, 90.00, 90.00 degrees
Each line ends with the local moment (μB).
Atoms (fractional coordinates):
Au (0.000, 0.500, 0.000)  0.02
Au (0.000, 0.500, 0.500)  0.02
Fe (0.500, 0.500, 0.750)  -0.38
Fe (0.000, 0.000, 0.000)  0.65
Fe (0.500, 0.500, 0.250)  -0.38
Fe (0.000, 0.000, 0.500)  0.65
Fe (0.500, 0.000, 0.750)  0.11
Fe (0.500, 0.000, 0.250)  0.11
Al (0.500, 0.774, 0.000)  0.00
Al (0.500, 0.226, 0.000)  0.00
Al (0.000, 0.774, 0.250)  0.00
Al (0.000, 0.226, 0.250)  0.00
Al (0.000, 0.226, 0.750)  0.00
Al (0.500, 0.774, 0.500)  0.00
Al (0.000, 0.774, 0.750)  0.00
Al (0.500, 0.226, 0.500)  0.00

=====

A relaxed structure of Nb3ReW3. Source: Alexandria via LeMat-Bulk, functional GGA-PBE.

Computed properties:
* space-group type: P2_1/m (11)
* density: 14.42 g cm⁻³
* formation enthalpy at 0 K: -134 meV/atom
* D(E_F): 0.4154 states/eV per atom
* V: 16.7 Å³ per atom
* total magnetic moment: 0.0000 μB/atom

Cell lengths 4.548, 7.892, 8.375 Å; angles 128.83, 90.00, 90.00 degrees
Atoms (fractional coordinates):
W (0.250, 0.110, 0.286)
W (0.250, 0.245, 0.000)
W (0.750, 0.755, 0.000)
W (0.250, 0.823, 0.861)
W (0.750, 0.177, 0.139)
W (0.750, 0.890, 0.714)
Nb (0.750, 0.466, 0.575)
Nb (0.250, 0.970, 0.577)
Nb (0.750, 0.030, 0.422)
Nb (0.250, 0.534, 0.425)
Nb (0.250, 0.675, 0.138)
Nb (0.750, 0.325, 0.862)
Re (0.250, 0.394, 0.713)
Re (0.750, 0.606, 0.287)

=====

A relaxed structure of Ba2DyMo2N6. Source: Alexandria via LeMat-Bulk, functional GGA-PBE.

Computed properties:
* space-group type: C2/m (12)
* density: 5.73 g cm⁻³
* formation energy without anion corrections: -15.9 kcal/mol of atoms
* D(E_F): 0.4759 states/eV per atom
* V: 18.8 Å³ per atom
* total magnetic moment: 0.0957 μB/atom

Cell lengths 6.212, 6.263, 7.252 Å; angles 117.80, 90.00, 119.73 degrees
Each line ends with the local moment (μB).
Atoms (fractional coordinates):
N (0.291, 0.092, 0.771)  0.11
N (0.801, 0.092, 0.771)  0.11
N (0.199, 0.908, 0.229)  0.11
N (0.244, 0.488, 0.371)  0.18
N (0.756, 0.512, 0.629)  0.18
N (0.709, 0.908, 0.229)  0.11
Mo (0.956, 0.912, 0.783)  -0.04
Mo (0.044, 0.088, 0.217)  -0.04
Dy (0.500, 0.000, 0.500)  0.01
Ba (0.712, 0.423, 0.185)  0.00
Ba (0.288, 0.577, 0.815)  0.00